This record from Alexandria describes ErTlNi after structural relaxation. The functional is GGA-PBE.

abc: 13.231 3.668 7.666
angles: 90.00 90.00 90.00
Atoms (fractional coordinates):
1 Er 0.047 0.000 0.216
2 Er 0.250 0.000 0.848
3 Er 0.453 0.000 0.216
4 Er 0.547 0.000 0.784
5 Er 0.750 0.000 0.152
6 Er 0.953 0.000 0.784
7 Tl 0.116 0.500 0.576
8 Tl 0.250 0.500 0.185
9 Tl 0.384 0.500 0.576
10 Tl 0.616 0.500 0.424
11 Tl 0.750 0.500 0.815
12 Tl 0.884 0.500 0.424
13 Ni 0.089 0.500 0.942
14 Ni 0.250 0.000 0.447
15 Ni 0.411 0.500 0.942
16 Ni 0.589 0.500 0.058
17 Ni 0.750 0.000 0.553
18 Ni 0.911 0.500 0.058

Results
Space-group type ... No. 51
ΔE_f ... -1.077 eV per formula unit
Volume ... 20.67 Å³ per atom
Size of the total moment ... 0.00 μB/atom